The following is a PBE+U calculation of a geometry-optimized Mg2VO3 structure, from Alexandria.

Calculated values
Calculated volume = 60.43 Å³/cell
Space group = Immm (71)
Total DFT energy (no corrections) = -39.57 eV/cell

Cell: 3.049 4.337 5.283 Å, 114.24 106.77 90.00°
Positions (direct):
Mg: 0.167 0.667 0.333
Mg: 0.833 0.333 0.667
V: 0.500 0.000 0.000
O: 0.500 0.500 0.000
O: 0.173 0.173 0.347
O: 0.827 0.827 0.653